The following is a PBE calculation of a relaxed Sr2CaBr crystal, from Alexandria.

abc: 4.063 4.063 11.453
angles: 90.00 90.00 116.17
Atoms (fractional coordinates):
Ca 0.500 0.500 0.709
Br 0.000 0.000 0.509
Sr 0.500 0.500 0.292
Sr 0.000 0.000 0.991

Calculated values
formation energy from raw total energies	-655	meV per atom
energy	-2.415	eV per atom
density of states at the Fermi level	3.33	states/eV/f.u.
offset from the most stable computed form	0.211	eV/f.u.